1.
{"formula": "SmPaPtAu", "functional": "PBE-GGA", "state": "optimized geometry", "lattice_angstrom": [[-2.0900, -3.0827, 3.4493], [1.7878, -4.7121, 0.6074], [2.5702, -1.2172, 4.2049]], "species": ["Sm", "Au", "Pa", "Pt"], "fractional_positions": [[0.2500, 0.2500, 0.2500], [0.0000, 0.0000, 0.0000], [0.7500, 0.7500, 0.7500], [0.5000, 0.5000, 0.5000]], "formation_energy_ev_per_fu": -2.54, "dft_energy_ev_per_fu": -26.077}

=====

2.
{"formula": "ThPaPtAu", "functional": "PBE-GGA", "state": "optimized geometry", "lattice_angstrom": [[-3.8690, -3.0051, 1.4410], [0.9517, -4.5263, 2.1640], [-0.9689, -0.7114, 4.9630]], "species": ["Th", "Pa", "Pt", "Au"], "fractional_positions": [[0.7500, 0.7500, 0.7500], [0.2500, 0.2500, 0.2500], [0.5000, 0.5000, 0.5000], [0.0000, 0.0000, 0.0000]], "formation_energy_ev_per_fu": -2.38, "dft_energy_ev_per_fu": -28.611}

=====

3.
{"formula": "PaTlPtAu", "functional": "PBE-GGA", "state": "optimized geometry", "lattice_angstrom": [[-1.3908, 3.8608, -2.7762], [-1.4409, -0.7102, -4.6869], [-4.7625, 0.5710, -1.2411]], "species": ["Au", "Pa", "Tl", "Pt"], "fractional_positions": [[0.2500, 0.2500, 0.2500], [0.0000, 0.0000, 0.0000], [0.5000, 0.5000, 0.5000], [0.7500, 0.7500, 0.7500]], "formation_energy_ev_per_fu": -1.70, "dft_energy_ev_per_fu": -22.884}

=====

4.
{"formula": "TmPaPtAu", "functional": "PBE-GGA", "state": "optimized geometry", "lattice_angstrom": [[-1.4617, -3.6401, 3.1099], [3.1829, -1.7988, 3.4194], [-0.7170, 0.9927, 4.8538]], "species": ["Pa", "Au", "Tm", "Pt"], "fractional_positions": [[0.7500, 0.7500, 0.7500], [0.5000, 0.5000, 0.5000], [0.2500, 0.2500, 0.2500], [0.0000, 0.0000, 0.0000]], "formation_energy_ev_per_fu": -2.88, "dft_energy_ev_per_fu": -26.163}

=====

5.
{"formula": "PaZnPtAu", "functional": "PBE-GGA", "state": "optimized geometry", "lattice_angstrom": [[4.8164, 0.0000, 0.0000], [2.4082, 4.1712, 0.0000], [2.4082, 1.3904, 3.9326]], "species": ["Pt", "Zn", "Au", "Pa"], "fractional_positions": [[0.2500, 0.2500, 0.2500], [0.5000, 0.5000, 0.5000], [0.7500, 0.7500, 0.7500], [0.0000, 0.0000, 0.0000]], "formation_energy_ev_per_fu": -2.18, "dft_energy_ev_per_fu": -22.268}

=====

6.
{"formula": "PuPaAu2", "functional": "PBE-GGA", "state": "optimized geometry", "lattice_angstrom": [[-1.0114, 2.5483, 2.7433], [-2.8829, -2.3432, 1.1137], [3.8236, -2.7986, 4.0093]], "species": ["Au", "Au", "Pa", "Pu"], "fractional_positions": [[0.0000, 0.0000, 0.2444], [0.0000, 0.0000, 0.7556], [0.5000, 0.5000, 0.0000], [0.5000, 0.5000, 0.5000]], "polymorph_energy_ev_per_fu": 0.04, "formation_energy_ev_per_fu": -1.21, "dft_energy_ev_per_fu": -31.588}

=====

7.
{"formula": "PuPaAu2", "functional": "PBE-GGA", "state": "optimized geometry", "lattice_angstrom": [[3.2695, 0.0000, 0.0000], [1.6348, 2.8315, 0.0000], [1.6348, 0.9438, 9.9875]], "species": ["Au", "Au", "Pa", "Pu"], "fractional_positions": [[0.7498, 0.7498, 0.7506], [0.2502, 0.2502, 0.2494], [0.0000, 0.0000, 0.0000], [0.5000, 0.5000, 0.5000]], "polymorph_energy_ev_per_fu": 0.72, "formation_energy_ev_per_fu": -0.52, "dft_energy_ev_per_fu": -30.902}

=====

8.
{"formula": "Pu2Pa8Au", "functional": "PBE-GGA", "state": "optimized geometry", "lattice_angstrom": [[5.2167, -0.2131, -0.1771], [-0.3398, 7.6250, 1.0305], [-0.3398, 2.4072, 7.3081]], "species": ["Pa", "Pa", "Pa", "Pa", "Pa", "Pa", "Pa", "Pa", "Pu", "Pu", "Au"], "fractional_positions": [[0.7943, 0.1331, 0.5514], [0.2057, 0.4486, 0.8669], [0.7379, 0.5713, 0.5713], [0.2057, 0.8669, 0.4486], [0.6117, 0.1336, 0.1336], [0.7943, 0.5514, 0.1331], [0.3883, 0.8664, 0.8664], [0.2621, 0.4287, 0.4287], [0.7733, 0.7674, 0.7674], [0.2267, 0.2326, 0.2326], [0.0000, 0.0000, 0.0000]], "formation_energy_ev_per_fu": 2.17, "dft_energy_ev_per_fu": -105.743}

=====

9.
{"formula": "PuPaAu2", "functional": "PBE-GGA", "state": "optimized geometry", "lattice_angstrom": [[-2.5211, 3.5275, 0.9158], [-3.6973, -2.4136, -0.8814], [-0.2028, -1.2655, 4.3163]], "species": ["Au", "Au", "Pa", "Pu"], "fractional_positions": [[0.0000, 0.5000, 0.0000], [0.0000, 0.0000, 0.5000], [0.5000, 0.5000, 0.5000], [0.5000, 0.0000, 0.0000]], "polymorph_energy_ev_per_fu": 0.05, "formation_energy_ev_per_fu": -1.20, "dft_energy_ev_per_fu": -31.580}

=====

10.
{"formula": "Pu3PaAu4", "functional": "PBE-GGA", "state": "optimized geometry", "lattice_angstrom": [[-1.3723, 1.2301, 2.5591], [4.2828, -1.5314, 3.0328], [4.8476, 9.5828, -2.0067]], "species": ["Au", "Au", "Au", "Au", "Pa", "Pu", "Pu", "Pu"], "fractional_positions": [[0.0000, 0.5000, 0.2467], [0.0000, 0.0000, 0.5000], [0.0000, 0.5000, 0.7533], [0.0000, 0.0000, 0.0000], [0.5000, 0.5000, 0.0000], [0.5000, 0.0000, 0.7496], [0.5000, 0.5000, 0.5000], [0.5000, 0.0000, 0.2504]], "formation_energy_ev_per_fu": -2.89, "dft_energy_ev_per_fu": -68.491}

=====

11.
{"formula": "Pu3PaAu2", "functional": "PBE-GGA", "state": "optimized geometry", "lattice_angstrom": [[3.4540, 0.0000, 0.0000], [0.0000, 3.4540, 0.0000], [0.0000, 0.0000, 11.8914]], "species": ["Au", "Au", "Pu", "Pu", "Pu", "Pa"], "fractional_positions": [[0.5000, 0.5000, 0.1706], [0.5000, 0.5000, 0.8294], [0.0000, 0.0000, 0.6681], [0.0000, 0.0000, 0.0000], [0.0000, 0.0000, 0.3319], [0.5000, 0.5000, 0.5000]], "formation_energy_ev_per_fu": -1.22, "dft_energy_ev_per_fu": -60.270}

=====

12.
{"formula": "PuPaAu2", "functional": "PBE-GGA", "state": "optimized geometry", "lattice_angstrom": [[5.1177, 0.0000, 0.0000], [2.5588, 4.4320, 0.0000], [2.5588, 1.4773, 4.1785]], "species": ["Pu", "Au", "Au", "Pa"], "fractional_positions": [[0.0000, 0.0000, 0.0000], [0.2500, 0.2500, 0.2500], [0.7500, 0.7500, 0.7500], [0.5000, 0.5000, 0.5000]], "polymorph_energy_ev_per_fu": 0.16, "formation_energy_ev_per_fu": -1.09, "dft_energy_ev_per_fu": -31.468}

=====

13.
{"formula": "Pu2PaAu6", "functional": "PBE-GGA", "state": "optimized geometry", "lattice_angstrom": [[-1.3377, 4.5254, 3.3338], [-4.9137, 0.2405, -3.0329], [-2.0087, -3.9039, 3.7585]], "species": ["Pa", "Au", "Au", "Au", "Au", "Au", "Au", "Pu", "Pu"], "fractional_positions": [[0.0000, 0.0000, 0.0000], [0.8333, 0.4999, 0.1666], [0.1667, 0.8334, 0.5001], [0.5000, 0.1666, 0.8334], [0.5000, 0.8334, 0.1666], [0.8333, 0.1666, 0.4999], [0.1667, 0.5001, 0.8334], [0.6697, 0.6696, 0.6696], [0.3303, 0.3304, 0.3304]], "formation_energy_ev_per_fu": -4.27, "dft_energy_ev_per_fu": -62.090}

=====

14.
{"formula": "PuPaAu4", "functional": "PBE-GGA", "state": "optimized geometry", "lattice_angstrom": [[-2.8156, 1.0773, -3.8192], [-4.7464, -3.2365, -0.5132], [-4.9386, 2.6819, 1.2979]], "species": ["Au", "Au", "Au", "Au", "Pa", "Pu"], "fractional_positions": [[0.1668, 0.0808, 0.5857], [0.8332, 0.9189, 0.4146], [0.1668, 0.5857, 0.0808], [0.8332, 0.4146, 0.9189], [0.4998, 0.0002, 0.0002], [0.5002, 0.4998, 0.4998]], "formation_energy_ev_per_fu": -2.85, "dft_energy_ev_per_fu": -39.786}

=====

15.
{"formula": "Pu2PaAu3", "functional": "PBE-GGA", "state": "optimized geometry", "lattice_angstrom": [[4.1796, 0.0000, 0.0000], [0.0000, 4.7070, 0.0000], [0.0000, 0.0000, 14.1625]], "species": ["Au", "Au", "Au", "Au", "Au", "Au", "Pu", "Pu", "Pu", "Pu", "Pa", "Pa"], "fractional_positions": [[0.5000, 0.0000, 0.5000], [0.5000, 0.5000, 0.6582], [0.5000, 0.5000, 0.3418], [0.5000, 0.0000, 0.1582], [0.5000, 0.5000, 0.0000], [0.5000, 0.0000, 0.8418], [0.9999, 0.0000, 0.3282], [0.0001, 0.5000, 0.8282], [0.0001, 0.5000, 0.1718], [0.9999, 0.0000, 0.6718], [0.9999, 0.0000, 0.0000], [0.0001, 0.5000, 0.5000]], "formation_energy_ev_per_fu": -1.98, "dft_energy_ev_per_fu": -49.969}

=====

16.
{"formula": "PuPaAu3", "functional": "PBE-GGA", "state": "optimized geometry", "lattice_angstrom": [[3.2097, 0.0000, -0.4419], [0.0000, 4.7914, 0.0000], [0.3691, 0.0000, 14.5577]], "species": ["Au", "Au", "Au", "Au", "Au", "Au", "Pa", "Pa", "Pu", "Pu"], "fractional_positions": [[0.6216, 0.7500, 0.2431], [0.5248, 0.7500, 0.0496], [0.6759, 0.2500, 0.3518], [0.3784, 0.2500, 0.7569], [0.3241, 0.7500, 0.6482], [0.4752, 0.2500, 0.9504], [0.7870, 0.2500, 0.5740], [0.2130, 0.7500, 0.4260], [0.9270, 0.7500, 0.8541], [0.0730, 0.2500, 0.1459]], "formation_energy_ev_per_fu": -1.83, "dft_energy_ev_per_fu": -35.489}

=====

17.
{"formula": "PuPaAu2", "functional": "PBE-GGA", "state": "optimized geometry", "lattice_angstrom": [[4.4693, 0.0037, 0.0062], [-0.0106, 5.4057, 4.4916], [-0.0099, 2.4864, 5.7559]], "species": ["Pu", "Au", "Au", "Pa"], "fractional_positions": [[0.1125, 0.1354, 0.8205], [0.6125, 0.6355, 0.5754], [0.6125, 0.6352, 0.0657], [0.1125, 0.1353, 0.3206]], "polymorph_energy_ev_per_fu": 0.00, "formation_energy_ev_per_fu": -1.24, "dft_energy_ev_per_fu": -31.626}

=====

18.
{"formula": "PuPaReAu", "functional": "PBE-GGA", "state": "optimized geometry", "lattice_angstrom": [[4.9676, 0.0000, 0.0000], [2.4838, 4.3021, 0.0000], [2.4838, 1.4340, 4.0560]], "species": ["Au", "Pa", "Pu", "Re"], "fractional_positions": [[0.0000, 0.0000, 0.0000], [0.7500, 0.7500, 0.7500], [0.2500, 0.2500, 0.2500], [0.5000, 0.5000, 0.5000]], "formation_energy_ev_per_fu": -0.01, "dft_energy_ev_per_fu": -39.559}

=====

19.
{"formula": "PuPaRhAu", "functional": "PBE-GGA", "state": "optimized geometry", "lattice_angstrom": [[4.7915, 0.0000, 0.0000], [2.3958, 4.1496, 0.0000], [2.3958, 1.3832, 3.9123]], "species": ["Pu", "Au", "Pa", "Rh"], "fractional_positions": [[0.5000, 0.5000, 0.5000], [0.2500, 0.2500, 0.2500], [0.7500, 0.7500, 0.7500], [0.0000, 0.0000, 0.0000]], "polymorph_energy_ev_per_fu": 0.00, "formation_energy_ev_per_fu": -2.36, "dft_energy_ev_per_fu": -36.816}

=====

20.
{"formula": "PuPaRhAu", "functional": "PBE-GGA", "state": "optimized geometry", "lattice_angstrom": [[4.9896, 0.0000, 0.0000], [2.4948, 4.3211, 0.0000], [2.4948, 1.4404, 4.0740]], "species": ["Pa", "Pu", "Au", "Rh"], "fractional_positions": [[0.0000, 0.0000, 0.0000], [0.5000, 0.5000, 0.5000], [0.7500, 0.7500, 0.7500], [0.2500, 0.2500, 0.2500]], "polymorph_energy_ev_per_fu": 0.96, "formation_energy_ev_per_fu": -1.40, "dft_energy_ev_per_fu": -35.859}